Record 1
VASP calculation (PBE) on a relaxed HoHfZnFe crystal.

Cell: 4.698 4.698 4.698 Å, 60.00 60.00 60.00°
Fractional positions:
Ho (0.000, 0.000, 0.000)
Hf (0.500, 0.500, 0.500)
Zn (0.750, 0.750, 0.750)
Fe (0.250, 0.250, 0.250)

Calculated values
Energy of formation from the pure elements (meV per atom): -88
Total magnetic moment (Bohr magnetons per cell): 0.2
Symmetry: F-43m


Record 2
VASP calculation (PBE) on a relaxed FeTcP2 crystal.

Cell: 6.108 6.108 6.108 Å, 129.10 129.10 74.85°
Fractional positions:
Fe (0.000, 0.000, 0.000)
Fe (0.750, 0.250, 0.500)
Tc (0.250, 0.750, 0.500)
Tc (0.500, 0.500, 0.000)
P (0.102, 0.625, 0.977)
P (0.375, 0.352, 0.477)
P (0.648, 0.125, 0.023)
P (0.875, 0.898, 0.523)

Calculated values
ΔE to the lowest computed polymorph (eV per atom): 0.3649
Energy of formation from the pure elements (meV per atom): -44
Total magnetic moment (Bohr magnetons per cell): 0.0
Symmetry: I-42d


- What is the energy of formation from the pure elements in the second record?
  -44 meV per atom


- The lowest energy of formation from the pure elements belongs to which entry?
  HoHfZnFe


- Which value of total magnetic moment does entry 2 give?
  0.0 Bohr magnetons per cell


Copy entry 2 word for word.
VASP calculation (PBE) on a relaxed FeTcP2 crystal.

Cell: 6.108 6.108 6.108 Å, 129.10 129.10 74.85°
Fractional positions:
Fe (0.000, 0.000, 0.000)
Fe (0.750, 0.250, 0.500)
Tc (0.250, 0.750, 0.500)
Tc (0.500, 0.500, 0.000)
P (0.102, 0.625, 0.977)
P (0.375, 0.352, 0.477)
P (0.648, 0.125, 0.023)
P (0.875, 0.898, 0.523)

Calculated values
ΔE to the lowest computed polymorph (eV per atom): 0.3649
Energy of formation from the pure elements (meV per atom): -44
Total magnetic moment (Bohr magnetons per cell): 0.0
Symmetry: I-42d